## Ho3CuGeS7 (PBE)

Data for a relaxed structure of Ho3CuGeS7.

## Properties
ΔE_f (raw)   -1.43 eV per atom
Volume   20.37 Å³/atom
Magnetic moment   0.000 μB/cell
Space group   P6_3
Energy   -5.7062 eV per atom

Cell: 9.810 9.810 5.867 Å, 90.00 90.00 120.00°
Fractional coordinates of all 24 atoms:
1 Ho 0.137 0.358 0.000
2 Ho 0.221 0.863 0.000
3 Ho 0.358 0.221 0.500
4 Ho 0.642 0.779 0.000
5 Ho 0.779 0.137 0.500
6 Ho 0.863 0.642 0.500
7 Cu 0.000 0.000 0.429
8 Cu 0.000 0.000 0.929
9 Ge 0.333 0.667 0.580
10 Ge 0.667 0.333 0.080
11 S 0.097 0.576 0.743
12 S 0.103 0.261 0.452
13 S 0.157 0.897 0.452
14 S 0.261 0.157 0.952
15 S 0.333 0.667 0.203
16 S 0.424 0.520 0.743
17 S 0.480 0.903 0.743
18 S 0.520 0.097 0.243
19 S 0.576 0.480 0.243
20 S 0.667 0.333 0.703
21 S 0.739 0.843 0.452
22 S 0.843 0.103 0.952
23 S 0.897 0.739 0.952
24 S 0.903 0.424 0.243


## SmHoCu2Ge2 (PBE)

Data for a relaxed structure of SmHoCu2Ge2.

## Properties
Volume   19.62 Å³/atom
DFT formation energy   -0.6829 eV/atom
Magnetic moment   0.000 μB/cell
Space group   P-3m1
Energy   -5.1369 eV per atom

Cell: 4.257 4.257 7.499 Å, 90.00 90.00 120.00°
Fractional coordinates of all 6 atoms:
1 Sm 0.000 0.000 0.000
2 Ho 0.000 0.000 0.500
3 Cu 0.333 0.667 0.736
4 Cu 0.667 0.333 0.264
5 Ge 0.333 0.667 0.257
6 Ge 0.667 0.333 0.743


## SmHoCuGe (PBE)

Data for a relaxed structure of SmHoCuGe.

## Properties
Volume   22.29 Å³/atom
DFT formation energy   -0.4835 eV/atom
Magnetic moment   0.000 μB/cell
Space group   F-43m
Energy   -4.9861 eV per atom

Cell: 5.014 5.014 5.014 Å, 60.00 60.00 60.00°
Fractional coordinates of all 4 atoms:
1 Sm 0.000 0.000 0.000
2 Ho 0.500 0.500 0.500
3 Cu 0.250 0.250 0.250
4 Ge 0.750 0.750 0.750


## Sm2HoCu2Ge2 (PBE)

Data for a relaxed structure of Sm2HoCu2Ge2.

## Properties
Volume   22.62 Å³/atom
DFT formation energy   -0.5048 eV/atom
Magnetic moment   0.000 μB/cell
Space group   R-3m
Energy   -4.9967 eV per atom

Cell: 10.496 10.496 10.496 Å, 23.26 23.26 23.26°
Fractional coordinates of all 7 atoms:
1 Sm 0.121 0.121 0.121
2 Sm 0.879 0.879 0.879
3 Ho 0.000 0.000 0.000
4 Cu 0.390 0.390 0.390
5 Cu 0.610 0.610 0.610
6 Ge 0.273 0.273 0.273
7 Ge 0.727 0.727 0.727


## TbHo2Cu2Ge2 (PBE)

Data for a relaxed structure of TbHo2Cu2Ge2.

## Properties
Volume   21.87 Å³/atom
DFT formation energy   -0.4948 eV/atom
Magnetic moment   0.000 μB/cell
Space group   R-3m
Energy   -4.9538 eV per atom

Cell: 10.320 10.320 10.320 Å, 23.47 23.47 23.47°
Fractional coordinates of all 7 atoms:
1 Tb 0.000 0.000 0.000
2 Ho 0.122 0.122 0.122
3 Ho 0.878 0.878 0.878
4 Cu 0.394 0.394 0.394
5 Cu 0.606 0.606 0.606
6 Ge 0.269 0.269 0.269
7 Ge 0.731 0.731 0.731


## Tb2HoCu2Ge2 (PBE)

Data for a relaxed structure of Tb2HoCu2Ge2.

## Properties
Volume   22.03 Å³/atom
DFT formation energy   -0.5025 eV/atom
Magnetic moment   0.000 μB/cell
Space group   R-3m
Energy   -4.9689 eV per atom

Cell: 10.369 10.369 10.369 Å, 23.39 23.39 23.39°
Fractional coordinates of all 7 atoms:
1 Tb 0.121 0.121 0.121
2 Tb 0.879 0.879 0.879
3 Ho 0.000 0.000 0.000
4 Cu 0.392 0.392 0.392
5 Cu 0.608 0.608 0.608
6 Ge 0.271 0.271 0.271
7 Ge 0.729 0.729 0.729


## HoThCu2Ge2 (PBE)

Data for a relaxed structure of HoThCu2Ge2.

## Properties
Volume   19.98 Å³/atom
DFT formation energy   -0.6579 eV/atom
Magnetic moment   0.000 μB/cell
Space group   P-3m1
Energy   -5.5621 eV per atom

Cell: 4.232 4.232 7.727 Å, 90.00 90.00 120.00°
Fractional coordinates of all 6 atoms:
1 Ho 0.000 0.000 0.000
2 Th 0.000 0.000 0.500
3 Cu 0.333 0.667 0.758
4 Cu 0.667 0.333 0.242
5 Ge 0.333 0.667 0.240
6 Ge 0.667 0.333 0.760


## HoThCuGe (PBE)

Data for a relaxed structure of HoThCuGe.

## Properties
Volume   22.77 Å³/atom
DFT formation energy   -0.3852 eV/atom
Magnetic moment   0.000 μB/cell
Space group   F-43m
Energy   -5.5630 eV per atom

Cell: 5.050 5.050 5.050 Å, 60.00 60.00 60.00°
Fractional coordinates of all 4 atoms:
1 Ho 0.000 0.000 0.000
2 Th 0.500 0.500 0.500
3 Cu 0.250 0.250 0.250
4 Ge 0.750 0.750 0.750


## HoTm2Cu2Ge2 (PBE)

Data for a relaxed structure of HoTm2Cu2Ge2.

## Properties
Volume   21.47 Å³/atom
DFT formation energy   -0.4827 eV/atom
Magnetic moment   0.000 μB/cell
Space group   R-3m
Energy   -4.9038 eV per atom

Cell: 10.268 10.268 10.268 Å, 23.43 23.43 23.43°
Fractional coordinates of all 7 atoms:
1 Ho 0.000 0.000 0.000
2 Tm 0.122 0.122 0.122
3 Tm 0.878 0.878 0.878
4 Cu 0.394 0.394 0.394
5 Cu 0.606 0.606 0.606
6 Ge 0.269 0.269 0.269
7 Ge 0.731 0.731 0.731


## YHo2Cu2Ge2 (PBE)

Data for a relaxed structure of YHo2Cu2Ge2.

## Properties
Volume   22.01 Å³/atom
DFT formation energy   -0.4997 eV/atom
Magnetic moment   0.000 μB/cell
Space group   R-3m
Energy   -5.2207 eV per atom

Cell: 10.468 10.468 10.468 Å, 23.03 23.03 23.03°
Fractional coordinates of all 7 atoms:
1 Y 0.000 0.000 0.000
2 Ho 0.122 0.122 0.122
3 Ho 0.878 0.878 0.878
4 Cu 0.395 0.395 0.395
5 Cu 0.605 0.605 0.605
6 Ge 0.270 0.270 0.270
7 Ge 0.730 0.730 0.730


## YHoCu2Ge2 (PBE)

Data for a relaxed structure of YHoCu2Ge2.

## Properties
Volume   19.15 Å³/atom
DFT formation energy   -0.6908 eV/atom
Magnetic moment   0.000 μB/cell
Space group   P-3m1
Energy   -5.4357 eV per atom

Cell: 4.236 4.236 7.394 Å, 90.00 90.00 120.00°
Fractional coordinates of all 6 atoms:
1 Y 0.000 0.000 0.000
2 Ho 0.000 0.000 0.500
3 Cu 0.333 0.667 0.255
4 Cu 0.667 0.333 0.745
5 Ge 0.333 0.667 0.748
6 Ge 0.667 0.333 0.252


## YHoCuGe (PBE)

Data for a relaxed structure of YHoCuGe.

## Properties
Volume   21.62 Å³/atom
DFT formation energy   -0.5060 eV/atom
Magnetic moment   0.000 μB/cell
Space group   F-43m
Energy   -5.4448 eV per atom

Cell: 4.964 4.964 4.964 Å, 60.00 60.00 60.00°
Fractional coordinates of all 4 atoms:
1 Y 0.000 0.000 0.000
2 Ho 0.500 0.500 0.500
3 Cu 0.250 0.250 0.250
4 Ge 0.750 0.750 0.750